No. 1
The following is a DFT calculation (GGA-PBE) of a geometry-optimized Tl2NiMo2 structure.

- ΔE_f (meV per atom) = 821

a b c (Å): 8.2100 8.2100 8.2100
angles (deg): 154.80 154.80 35.94
With the nearest neighbours (Å) after each atom.
Atoms (fractional coordinates):
Tl1 0.5951 0.5951 0.0000  4 Ni 2.94, 1 Tl 2.97, 4 Mo 3.01
Tl2 0.4049 0.4049 0.0000  4 Ni 2.94, 1 Tl 2.97, 4 Mo 3.01
Ni1 0.0000 0.0000 0.0000  8 Tl 2.94
Mo1 0.2500 0.7500 0.5000  4 Mo 2.53
Mo2 0.7500 0.2500 0.5000  4 Mo 2.53



No. 2
The following is a DFT calculation (GGA-PBE) of a geometry-optimized NaDyHg3 structure.

- ΔE_f (meV per atom) = -81

a b c (Å): 5.4349 7.2931 7.2931
angles (deg): 115.22 90.00 90.00
With the nearest neighbours (Å) after each atom.
Atoms (fractional coordinates):
Na1 0.0000 0.0000 0.0000  2 Na 2.72, 6 Hg 2.90-2.92
Na2 0.5000 0.0000 0.0000  2 Na 2.72, 6 Hg 2.90-2.92
Dy1 0.2500 0.3467 0.6533  8 Hg 3.21-3.26
Dy2 0.7500 0.6533 0.3467  8 Hg 3.21-3.26
Hg1 0.2500 0.7920 0.2080  2 Na 2.90, 2 Hg 3.02, 2 Dy 3.21
Hg2 0.7500 0.2080 0.7920  2 Na 2.90, 2 Hg 3.02, 2 Dy 3.21
Hg3 0.2500 0.7750 0.6142  2 Na 2.92, 2 Hg 3.02-3.04, 3 Dy 3.24-3.26
Hg4 0.7500 0.2250 0.3858  2 Na 2.92, 2 Hg 3.02-3.04, 3 Dy 3.24-3.26
Hg5 0.2500 0.3858 0.2250  2 Na 2.92, 2 Hg 3.02-3.04, 3 Dy 3.24-3.26
Hg6 0.7500 0.6142 0.7750  2 Na 2.92, 2 Hg 3.02-3.04, 3 Dy 3.24-3.26



So what do the calculations give for density of states at the Fermi level? Going down the list: 4.306 6.530 states/eV per cell.
So what do the calculations give for total magnetic moment? Going down the list: 0.0 0.0 Bohr magnetons per cell.